1.
! Pa2Si6IrRh GGA-PBE relaxed; values from VASP
! formation energy from raw total energies: -0.386 eV per atom
! magnetization: 1.15 μB/cell
! space group: R-3m, No. 166
&SYSTEM
  ibrav = 0, nat = 20, ntyp = 4
/
ATOMIC_SPECIES
Si 28.09 Si.upf
Ir 192.22 Ir.upf
Rh 102.91 Rh.upf
Pa 231.04 Pa.upf
CELL_PARAMETERS angstrom
-0.120 -4.488 3.733
4.096 -4.151 -0.293
8.452 3.588 9.152
ATOMIC_POSITIONS angstrom
Si 10.258 -1.052 8.198
Si 7.813 -1.247 10.533
Si 7.871 -0.845 5.655
Si 2.170 -4.000 4.393
Si 4.546 -6.407 4.223
Si 4.557 -4.206 6.937
Si 4.628 -1.538 4.718
Si 7.800 -3.513 7.874
Si 7.883 1.356 8.368
Si 5.365 -1.046 8.048
Si 7.063 -4.006 4.544
Si 4.615 -3.804 2.059
Ir 4.565 -4.022 4.444
Ir 7.863 -1.029 8.148
Rh 0.000 0.000 0.000
Rh 6.214 -2.526 6.296
Pa 2.541 -1.777 2.512
Pa 9.887 -3.275 10.080
Pa 6.697 -6.170 6.496
Pa 5.731 1.118 6.095

---

2.
! PaSiIrRh GGA-PBE relaxed; values from VASP
! formation energy from raw total energies: -0.879 eV per atom
! magnetization: 0.00 μB/cell
! space group: P4/nmm, No. 129
&SYSTEM
  ibrav = 0, nat = 8, ntyp = 4
/
ATOMIC_SPECIES
Rh 102.91 Rh.upf
Pa 231.04 Pa.upf
Si 28.09 Si.upf
Ir 192.22 Ir.upf
CELL_PARAMETERS angstrom
3.899 0.000 0.000
0.000 3.899 0.000
0.000 0.000 9.456
ATOMIC_POSITIONS angstrom
Rh 0.000 0.000 4.728
Rh 1.949 1.949 4.728
Pa 1.949 0.000 2.041
Pa 0.000 1.949 7.415
Si 0.000 1.949 3.374
Si 1.949 0.000 6.083
Ir 0.000 1.949 0.974
Ir 1.949 0.000 8.483

---

3.
! PaSnIrRh GGA-PBE relaxed; values from VASP
! E_form: -0.561 eV per atom
! magnetization: 0.00 μB/cell
! space group: F-43m, No. 216
&SYSTEM
  ibrav = 0, nat = 4, ntyp = 4
/
ATOMIC_SPECIES
Pa 231.04 Pa.upf
Ir 192.22 Ir.upf
Rh 102.91 Rh.upf
Sn 118.71 Sn.upf
CELL_PARAMETERS angstrom
4.796 0.000 0.000
2.398 4.154 0.000
2.398 1.385 3.916
ATOMIC_POSITIONS angstrom
Pa 7.195 4.154 2.937
Ir 4.796 2.769 1.958
Rh 0.000 0.000 0.000
Sn 2.398 1.385 0.979

---

4.
! TbPaIrRh GGA-PBE relaxed; values from VASP
! E_form: -0.694 eV per atom
! E above lowest polymorph: 176.8 meV/atom
! magnetization: 0.00 μB/cell
! space group: F-43m, No. 216
&SYSTEM
  ibrav = 0, nat = 4, ntyp = 4
/
ATOMIC_SPECIES
Tb 158.93 Tb.upf
Pa 231.04 Pa.upf
Ir 192.22 Ir.upf
Rh 102.91 Rh.upf
CELL_PARAMETERS angstrom
4.884 0.000 0.000
2.442 4.229 0.000
2.442 1.410 3.988
ATOMIC_POSITIONS angstrom
Tb 7.326 4.229 2.991
Pa 2.442 1.410 0.997
Ir 4.884 2.820 1.994
Rh 0.000 0.000 0.000

---

5.
! TbPaIrRh GGA-PBE relaxed; values from VASP
! E_form: -0.871 eV per atom
! E above lowest polymorph: 0.0 meV/atom
! magnetization: 0.00 μB/cell
! space group: Amm2, No. 38
&SYSTEM
  ibrav = 0, nat = 4, ntyp = 4
/
ATOMIC_SPECIES
Tb 158.93 Tb.upf
Pa 231.04 Pa.upf
Rh 102.91 Rh.upf
Ir 192.22 Ir.upf
CELL_PARAMETERS angstrom
3.779 0.000 0.000
0.000 4.170 0.000
-1.890 0.000 5.406
ATOMIC_POSITIONS angstrom
Tb 0.000 0.000 1.501
Pa 1.890 2.085 3.910
Rh 1.890 2.085 1.030
Ir 0.000 0.000 4.370

---

6.
! TmPaIrRh GGA-PBE relaxed; values from VASP
! E_form: -0.925 eV per atom
! E above lowest polymorph: 0.0 meV/atom
! magnetization: 0.00 μB/cell
! space group: Amm2, No. 38
&SYSTEM
  ibrav = 0, nat = 4, ntyp = 4
/
ATOMIC_SPECIES
Rh 102.91 Rh.upf
Tm 168.93 Tm.upf
Pa 231.04 Pa.upf
Ir 192.22 Ir.upf
CELL_PARAMETERS angstrom
-0.123 3.720 -0.481
-2.552 0.351 3.365
4.232 -1.320 3.348
ATOMIC_POSITIONS angstrom
Rh 3.344 0.433 2.491
Tm 1.691 2.427 3.698
Pa 1.200 0.155 0.894
Ir -0.567 2.135 2.016

---

7.
! TmPaIrRh GGA-PBE relaxed; values from VASP
! E_form: -0.756 eV per atom
! E above lowest polymorph: 169.5 meV/atom
! magnetization: 0.00 μB/cell
! space group: F-43m, No. 216
&SYSTEM
  ibrav = 0, nat = 4, ntyp = 4
/
ATOMIC_SPECIES
Ir 192.22 Ir.upf
Tm 168.93 Tm.upf
Pa 231.04 Pa.upf
Rh 102.91 Rh.upf
CELL_PARAMETERS angstrom
-3.308 -1.629 3.158
-2.380 -4.136 -0.895
0.924 -3.956 2.658
ATOMIC_POSITIONS angstrom
Ir 0.000 0.000 0.000
Tm -3.573 -7.291 3.691
Pa -1.191 -2.430 1.230
Rh -2.382 -4.860 2.461

---

8.
! YPaIrRh GGA-PBE relaxed; values from VASP
! E_form: -0.866 eV per atom
! E above lowest polymorph: 0.0 meV/atom
! magnetization: 0.00 μB/cell
! space group: Amm2, No. 38
&SYSTEM
  ibrav = 0, nat = 4, ntyp = 4
/
ATOMIC_SPECIES
Rh 102.91 Rh.upf
Pa 231.04 Pa.upf
Y 88.91 Y.upf
Ir 192.22 Ir.upf
CELL_PARAMETERS angstrom
3.772 0.000 0.000
0.000 4.212 0.000
-1.886 0.000 5.351
ATOMIC_POSITIONS angstrom
Rh 0.000 0.000 4.337
Pa 0.000 0.000 1.490
Y 1.886 2.106 3.866
Ir 1.886 2.106 1.011

---

9.
! YPaIrRh GGA-PBE relaxed; values from VASP
! E_form: -0.691 eV per atom
! E above lowest polymorph: 174.5 meV/atom
! magnetization: 0.00 μB/cell
! space group: F-43m, No. 216
&SYSTEM
  ibrav = 0, nat = 4, ntyp = 4
/
ATOMIC_SPECIES
Y 88.91 Y.upf
Ir 192.22 Ir.upf
Pa 231.04 Pa.upf
Rh 102.91 Rh.upf
CELL_PARAMETERS angstrom
4.883 0.000 0.000
2.442 4.229 0.000
2.442 1.410 3.987
ATOMIC_POSITIONS angstrom
Y 0.000 0.000 0.000
Ir 7.325 4.229 2.990
Pa 4.883 2.819 1.994
Rh 2.442 1.410 0.997

---

10.
! ZrPaIrRh GGA-PBE relaxed; values from VASP
! E_form: -0.636 eV per atom
! magnetization: 0.00 μB/cell
! space group: F-43m, No. 216
&SYSTEM
  ibrav = 0, nat = 4, ntyp = 4
/
ATOMIC_SPECIES
Zr 91.22 Zr.upf
Rh 102.91 Rh.upf
Pa 231.04 Pa.upf
Ir 192.22 Ir.upf
CELL_PARAMETERS angstrom
4.789 0.000 0.000
2.394 4.147 0.000
2.394 1.382 3.910
ATOMIC_POSITIONS angstrom
Zr 2.394 1.382 0.977
Rh 4.789 2.765 1.955
Pa 7.183 4.147 2.932
Ir 0.000 0.000 0.000

---

11.
! PaIrRu GGA-PBE relaxed; values from VASP
! E_form: -0.359 eV per atom
! E above lowest polymorph: 241.5 meV/atom
! magnetization: 0.00 μB/cell
! space group: P-6m2, No. 187
&SYSTEM
  ibrav = 0, nat = 3, ntyp = 3
/
ATOMIC_SPECIES
Ir 192.22 Ir.upf
Pa 231.04 Pa.upf
Ru 101.07 Ru.upf
CELL_PARAMETERS angstrom
3.678 0.000 0.000
0.000 4.321 0.000
0.000 -2.161 3.742
ATOMIC_POSITIONS angstrom
Ir 0.612 2.161 1.247
Pa 2.452 0.000 2.495
Ru 0.613 0.000 0.000

---

12.
! Pa8IrRu5 GGA-PBE relaxed; values from VASP
! E_form: -0.454 eV per atom
! magnetization: 0.00 μB/cell
! space group: I-4, No. 82
&SYSTEM
  ibrav = 0, nat = 14, ntyp = 3
/
ATOMIC_SPECIES
Pa 231.04 Pa.upf
Ru 101.07 Ru.upf
Ir 192.22 Ir.upf
CELL_PARAMETERS angstrom
-5.101 3.965 -3.555
2.217 -5.542 -4.329
-2.840 -2.764 6.219
ATOMIC_POSITIONS angstrom
Pa -1.931 -2.819 4.143
Pa -1.942 -2.235 -2.950
Pa -1.766 -6.430 2.443
Pa -4.274 0.504 -1.363
Pa -4.864 -1.942 1.648
Pa -3.790 -4.716 -0.543
Pa -1.698 -1.446 0.399
Pa -0.366 -5.009 -0.665
Ru -3.970 0.601 1.332
Ru 0.461 -2.440 -0.863
Ru -3.224 -2.093 -5.328
Ru -4.212 -2.200 -1.464
Ru -4.472 -1.950 4.325
Ir -2.296 -3.853 1.611